[1]
## Li2CdRe2 (PBE)

Data for a relaxed structure of Li2CdRe2.

* distance to the lowest polymorph of the same formula: 0.412 eV/f.u.
* space group: P4/mbm
* formation energy: 3.0 eV per formula unit

Unit cell a=7.5933 b=7.5933 c=2.7499 alpha=90.00 beta=90.00 gamma=90.00
Closest atoms and distances in Å follow each position.
Positions (direct):
Cd 0.0000 0.0000 0.0000  2 Cd 2.75, 4 Li 2.78
Cd 0.5000 0.5000 0.0000  2 Cd 2.75, 4 Li 2.78
Li 0.8174 0.6826 0.0000  6 Re 2.64-2.66, 2 Li 2.75, 2 Cd 2.78
Li 0.3174 0.8174 0.0000  6 Re 2.64-2.66, 2 Li 2.75, 2 Cd 2.78
Li 0.1826 0.3174 0.0000  6 Re 2.64-2.66, 2 Li 2.75, 2 Cd 2.78
Li 0.6826 0.1826 0.0000  6 Re 2.64-2.66, 2 Li 2.75, 2 Cd 2.78
Re 0.6070 0.8930 0.5000  1 Re 2.30
Re 0.8930 0.3930 0.5000  1 Re 2.30
Re 0.1070 0.6070 0.5000  1 Re 2.30
Re 0.3930 0.1070 0.5000  1 Re 2.30


[2]
## TiIrRu2 (PBE)

Data for a relaxed structure of TiIrRu2.

* distance to the lowest polymorph of the same formula: 0.000 eV/f.u.
* space group: P4/mmm
* formation energy: -1.5 eV per formula unit

Unit cell a=3.9119 b=3.8393 c=3.8393 alpha=90.00 beta=90.00 gamma=90.00
Closest atoms and distances in Å follow each position.
Positions (direct):
Ir 0.5000 0.5000 0.5000  4 Ti 2.71, 8 Ru 2.74
Ru 0.0000 0.5000 0.0000  4 Ru 2.71, 4 Ir 2.74, 4 Ti 2.74
Ru 0.0000 0.0000 0.5000  4 Ru 2.71, 4 Ir 2.74, 4 Ti 2.74
Ti 0.5000 0.0000 0.0000  4 Ir 2.71, 8 Ru 2.74


| no. | mass density (g cm⁻³) |
| --- | --- |
| 1 | 10.45 |
| 2 | 12.74 |